{
  "formula": "Li2Tb2NdSn2",
  "functional": "PBE-GGA",
  "state": "optimized geometry",
  "formation_energy_ev_per_fu": -3.29,
  "sg": "R-3m",
  "magnetic_moment_mub_per_cell": 0.0,
  "lattice": [[-3.432, 1.694, 2.929], [-4.331, 1.148, -1.774], [-5.442, -7.466, 1.906]],
  "species": ["Sn", "Sn", "Li", "Tb", "Nd", "Tb", "Li"],
  "fractional_positions": [[0.261, 0.261, 0.218], [0.739, 0.739, 0.782], [0.408, 0.408, 0.776], [0.870, 0.870, 0.390], [0.000, 0.000, 0.000], [0.130, 0.130, 0.610], [0.592, 0.592, 0.224]]
}

{
  "formula": "LiTbScCd",
  "functional": "PBE-GGA",
  "state": "optimized geometry",
  "formation_energy_ev_per_fu": -0.37,
  "sg": "F-43m",
  "magnetic_moment_mub_per_cell": 0.0,
  "lattice": [[5.126, 0.000, 0.000], [2.563, 4.439, 0.000], [2.563, 1.480, 4.185]],
  "species": ["Cd", "Tb", "Li", "Sc"],
  "fractional_positions": [[0.250, 0.250, 0.250], [0.500, 0.500, 0.500], [0.750, 0.750, 0.750], [0.000, 0.000, 0.000]]
}

{
  "formula": "Ac6Hg3IrRh2",
  "functional": "PBE-GGA",
  "state": "optimized geometry",
  "formation_energy_ev_per_fu": -7.34,
  "sg": "C2/m",
  "magnetic_moment_mub_per_cell": 0.0,
  "lattice": [[-5.944, 2.249, -3.976], [1.628, -7.300, 0.505], [-3.274, 1.095, 7.866]],
  "species": ["Ac", "Ir", "Ac", "Ac", "Ac", "Hg", "Ac", "Ac", "Rh", "Rh", "Hg", "Hg"],
  "fractional_positions": [[0.601, 0.933, 0.799], [0.000, 0.000, 0.000], [0.933, 0.601, 0.799], [0.734, 0.734, 0.200], [0.266, 0.266, 0.800], [0.834, 0.166, 0.500], [0.067, 0.399, 0.201], [0.399, 0.067, 0.201], [0.667, 0.333, 0.000], [0.333, 0.667, 0.000], [0.500, 0.500, 0.500], [0.166, 0.834, 0.500]]
}